1.
{"formula": "AcEuTeSe", "functional": "GGA-PBE", "state": "relaxed", "cell": [[-2.1236, -5.1051, -0.3934], [2.9882, -4.0772, -2.2745], [1.9904, -4.0823, 3.1781]], "species": ["Se", "Ac", "Te", "Eu"], "fractional_positions": [[0.5000, 0.5000, 0.5000], [0.7500, 0.7500, 0.7500], [0.0000, 0.0000, 0.0000], [0.2500, 0.2500, 0.2500]], "crystal_system": "cubic", "mass_density_g_cm3": 8.07, "dft_energy_ev_per_atom": -6.7788, "spacegroup": "F-43m"}



2.
{"formula": "Ac2EuSi", "functional": "GGA-PBE", "state": "relaxed", "cell": [[4.0108, 0.0000, 0.0000], [0.0000, 4.0108, 0.0000], [0.0000, 0.0000, 9.0650]], "species": ["Eu", "Ac", "Ac", "Si"], "fractional_positions": [[0.5000, 0.5000, 0.5000], [0.0000, 0.0000, 0.8160], [0.0000, 0.0000, 0.1840], [0.5000, 0.5000, 0.0000]], "e_above_lowest_polymorph_mev_per_atom": 0, "crystal_system": "tetragonal", "mass_density_g_cm3": 7.22, "dft_energy_ev_per_atom": -6.1497, "spacegroup": "P4/mmm"}



3.
{"formula": "Ac2EuSi", "functional": "GGA-PBE", "state": "relaxed", "cell": [[-1.9956, 0.2911, -4.3287], [1.2205, -5.0048, -0.8992], [-4.5914, -1.4821, 2.0171]], "species": ["Si", "Ac", "Ac", "Eu"], "fractional_positions": [[0.5000, 0.5000, 0.5000], [0.0000, 0.0000, 0.5000], [0.0000, 0.5000, 0.0000], [0.5000, 0.0000, 0.0000]], "e_above_lowest_polymorph_mev_per_atom": 76, "crystal_system": "tetragonal", "mass_density_g_cm3": 8.06, "dft_energy_ev_per_atom": -6.0742, "spacegroup": "P4/mmm"}



4.
{"formula": "Ac2EuSi", "functional": "GGA-PBE", "state": "relaxed", "cell": [[5.7232, 0.0000, 0.0000], [2.8616, 4.9565, 0.0000], [2.8616, 1.6522, 4.6730]], "species": ["Si", "Eu", "Ac", "Ac"], "fractional_positions": [[0.0000, 0.0000, 0.0000], [0.5000, 0.5000, 0.5000], [0.2500, 0.2500, 0.2500], [0.7500, 0.7500, 0.7500]], "e_above_lowest_polymorph_mev_per_atom": 213, "crystal_system": "cubic", "mass_density_g_cm3": 7.94, "dft_energy_ev_per_atom": -5.9366, "spacegroup": "Fm-3m"}



5.
{"formula": "Ac2EuSi", "functional": "GGA-PBE", "state": "relaxed", "cell": [[-0.1942, 0.8085, 4.2810], [-0.7291, -3.2597, 2.8038], [9.7588, -2.4160, 3.1203]], "species": ["Ac", "Ac", "Si", "Eu"], "fractional_positions": [[0.2749, 0.2749, 0.1752], [0.7251, 0.7251, 0.8248], [0.0000, 0.0000, 0.0000], [0.5000, 0.5000, 0.5000]], "e_above_lowest_polymorph_mev_per_atom": 18, "crystal_system": "trigonal", "mass_density_g_cm3": 6.25, "dft_energy_ev_per_atom": -6.1320, "spacegroup": "R-3m"}



6.
{"formula": "AcEuSi4", "functional": "GGA-PBE", "state": "relaxed", "cell": [[5.6412, 0.0000, 0.0000], [2.8206, 4.8854, 0.0000], [2.8206, 1.6285, 4.6060]], "species": ["Si", "Si", "Si", "Si", "Eu", "Ac"], "fractional_positions": [[0.6125, 0.1627, 0.6124], [0.6125, 0.6124, 0.1627], [0.6125, 0.6124, 0.6124], [0.1627, 0.6124, 0.6124], [0.2500, 0.2500, 0.2500], [0.0000, 0.0000, 0.0000]], "crystal_system": "cubic", "mass_density_g_cm3": 6.43, "dft_energy_ev_per_atom": -6.2723, "spacegroup": "F-43m"}



7.
{"formula": "AcEu2Si", "functional": "GGA-PBE", "state": "relaxed", "cell": [[3.7729, 0.0000, 0.0000], [0.0000, 3.7729, 0.0000], [0.0000, 0.0000, 9.4632]], "species": ["Ac", "Si", "Eu", "Eu"], "fractional_positions": [[0.5000, 0.5000, 0.5000], [0.5000, 0.5000, 0.0000], [0.0000, 0.0000, 0.8249], [0.0000, 0.0000, 0.1751]], "e_above_lowest_polymorph_mev_per_atom": 0, "crystal_system": "tetragonal", "mass_density_g_cm3": 6.89, "dft_energy_ev_per_atom": -7.6797, "spacegroup": "P4/mmm"}



8.
{"formula": "AcEuSi2", "functional": "GGA-PBE", "state": "relaxed", "cell": [[3.9645, 0.0000, 0.0000], [0.0000, 3.9645, 0.0000], [0.0000, 0.0000, 6.5795]], "species": ["Ac", "Si", "Si", "Eu"], "fractional_positions": [[0.5000, 0.5000, 0.0000], [0.0000, 0.0000, 0.3093], [0.0000, 0.0000, 0.6907], [0.5000, 0.5000, 0.5000]], "crystal_system": "tetragonal", "mass_density_g_cm3": 6.99, "dft_energy_ev_per_atom": -6.6699, "spacegroup": "P4/mmm"}



9.
{"formula": "AcEu2Si", "functional": "GGA-PBE", "state": "relaxed", "cell": [[5.2012, 0.0000, 0.0000], [0.0000, 4.8856, 0.0000], [0.0000, 0.0000, 4.8856]], "species": ["Eu", "Eu", "Ac", "Si"], "fractional_positions": [[0.0000, 0.0000, 0.5000], [0.0000, 0.5000, 0.0000], [0.5000, 0.5000, 0.5000], [0.5000, 0.0000, 0.0000]], "e_above_lowest_polymorph_mev_per_atom": 23, "crystal_system": "tetragonal", "mass_density_g_cm3": 7.48, "dft_energy_ev_per_atom": -7.6567, "spacegroup": "P4/mmm"}



10.
{"formula": "AcEu2Si", "functional": "GGA-PBE", "state": "relaxed", "cell": [[-3.6621, -0.3760, -1.2940], [-1.8260, -3.4370, 0.2826], [-5.5915, 1.5362, 9.4947]], "species": ["Eu", "Eu", "Si", "Ac"], "fractional_positions": [[0.2713, 0.2713, 0.1861], [0.7287, 0.7287, 0.8139], [0.0000, 0.0000, 0.0000], [0.5000, 0.5000, 0.5000]], "e_above_lowest_polymorph_mev_per_atom": 110, "crystal_system": "trigonal", "mass_density_g_cm3": 6.46, "dft_energy_ev_per_atom": -7.5692, "spacegroup": "R-3m"}



11.
{"formula": "AcEuSi2", "functional": "GGA-PBE", "state": "relaxed", "cell": [[-0.4917, -2.7374, -3.1318], [3.7490, -2.7956, 1.8550], [-3.3027, -2.5855, 2.7784]], "species": ["Si", "Si", "Ac", "Eu"], "fractional_positions": [[0.0000, 0.0000, 0.5000], [0.0000, 0.5000, 0.0000], [0.5000, 0.0000, 0.0000], [0.5000, 0.5000, 0.5000]], "crystal_system": "tetragonal", "mass_density_g_cm3": 6.82, "dft_energy_ev_per_atom": -6.6088, "spacegroup": "P4/mmm"}



12.
{"formula": "AcEuSiSn", "functional": "GGA-PBE", "state": "relaxed", "cell": [[5.5203, 0.0000, 0.0000], [2.7602, 4.7807, 0.0000], [2.7602, 1.5936, 4.5073]], "species": ["Ac", "Eu", "Sn", "Si"], "fractional_positions": [[0.5000, 0.5000, 0.5000], [0.0000, 0.0000, 0.0000], [0.2500, 0.2500, 0.2500], [0.7500, 0.7500, 0.7500]], "crystal_system": "cubic", "mass_density_g_cm3": 7.34, "dft_energy_ev_per_atom": -6.3605, "spacegroup": "F-43m"}



13.
{"formula": "AcSmEu2", "functional": "GGA-PBE", "state": "relaxed", "cell": [[6.0963, 0.0000, 0.0000], [3.0481, 5.2795, 0.0000], [3.0481, 1.7598, 4.9776]], "species": ["Eu", "Eu", "Sm", "Ac"], "fractional_positions": [[0.2500, 0.2500, 0.2500], [0.7500, 0.7500, 0.7500], [0.5000, 0.5000, 0.5000], [0.0000, 0.0000, 0.0000]], "e_above_lowest_polymorph_mev_per_atom": 46, "crystal_system": "cubic", "mass_density_g_cm3": 7.06, "formation_energy_mev_per_atom": 114, "dft_energy_ev_per_atom": -7.2302, "spacegroup": "Fm-3m"}



14.
{"formula": "AcSmEu2", "functional": "GGA-PBE", "state": "relaxed", "cell": [[3.8452, 0.0000, 0.0000], [0.0000, 3.8452, 0.0000], [0.0000, 0.0000, 10.7984]], "species": ["Eu", "Eu", "Sm", "Ac"], "fractional_positions": [[0.0000, 0.0000, 0.2623], [0.0000, 0.0000, 0.7377], [0.5000, 0.5000, 0.5000], [0.5000, 0.5000, 0.0000]], "e_above_lowest_polymorph_mev_per_atom": 14, "crystal_system": "tetragonal", "mass_density_g_cm3": 7.09, "formation_energy_mev_per_atom": 82, "dft_energy_ev_per_atom": -7.2621, "spacegroup": "P4/mmm"}



15.
{"formula": "AcSmEu2", "functional": "GGA-PBE", "state": "relaxed", "cell": [[4.2692, 0.0000, 0.0000], [0.0000, 6.1235, 0.0000], [0.0000, 0.0000, 6.1235]], "species": ["Sm", "Ac", "Eu", "Eu"], "fractional_positions": [[0.5000, 0.0000, 0.0000], [0.5000, 0.5000, 0.5000], [0.0000, 0.0000, 0.5000], [0.0000, 0.5000, 0.0000]], "e_above_lowest_polymorph_mev_per_atom": 48, "crystal_system": "tetragonal", "mass_density_g_cm3": 7.07, "formation_energy_mev_per_atom": 116, "dft_energy_ev_per_atom": -7.2281, "spacegroup": "P4/mmm"}